Record 1
The following is a GGA-PBE calculation of a relaxed structure of Sc2TcOsPt, from Alexandria via LeMat-Bulk.

a b c (Å): 4.9311 4.9311 4.5720
angles (deg): 90.00 90.00 90.00
With the nearest neighbours (Å) after each atom.
Space group P4/mmm (No. 123)
Inequivalent atoms, fractional coordinates:
Sc: 0.0000 0.5000 0.0000 (multiplicity 2)  2 Os 2.47
Tc: 0.0000 0.0000 0.5000 (multiplicity 1)  2 Os 2.29
Os: 0.0000 0.0000 0.0000 (multiplicity 1)  2 Tc 2.29, 4 Sc 2.47
Pt: 0.5000 0.5000 0.5000 (multiplicity 1)  8 Sc 3.36, 4 Tc 3.49

Calculated values
The calculation puts the spin magnetization at 0.00 μB per cell. As for the energy of formation from the pure elements: 0.498 eV/atom.



Record 2
The following is a GGA-PBE calculation of a relaxed structure of ScTi2OsPt, from Alexandria via LeMat-Bulk.

a b c (Å): 4.5930 4.5930 5.1114
angles (deg): 90.00 90.00 90.00
With the nearest neighbours (Å) after each atom.
Space group P4/mmm (No. 123)
Inequivalent atoms, fractional coordinates:
Sc: 0.0000 0.0000 0.0000 (multiplicity 1)  4 Pt 3.25, 8 Ti 3.44
Ti: 0.0000 0.5000 0.5000 (multiplicity 2)  2 Os 2.30
Os: 0.5000 0.5000 0.5000 (multiplicity 1)  4 Ti 2.30, 2 Pt 2.56
Pt: 0.5000 0.5000 0.0000 (multiplicity 1)  2 Os 2.56

Calculated values
The calculation puts the spin magnetization at 0.00 μB per cell. As for the energy of formation from the pure elements: 0.307 eV/atom.



Record 3
The following is a GGA-PBE calculation of a relaxed structure of TmScOsPt, from Alexandria via LeMat-Bulk.

a b c (Å): 3.3618 3.3618 6.4948
angles (deg): 90.00 90.00 90.00
With the nearest neighbours (Å) after each atom.
Space group P4mm (No. 99)
Inequivalent atoms, fractional coordinates:
Tm: 0.0000 0.0000 0.0000 (multiplicity 1)  4 Os 2.91, 4 Pt 2.94, 1 Sc 3.16
Sc: 0.0000 0.0000 0.5133 (multiplicity 1)  4 Os 2.80, 4 Pt 2.87
Os: 0.5000 0.5000 0.7417 (multiplicity 1)  4 Sc 2.80, 4 Tm 2.91, 1 Pt 3.09
Pt: 0.5000 0.5000 0.2655 (multiplicity 1)  4 Sc 2.87, 4 Tm 2.94, 1 Os 3.09

Calculated values
The calculation puts the spin magnetization at 0.00 μB per cell. As for the energy of formation from the pure elements: -0.839 eV/atom. The energy above the lowest structure with this stoichiometry comes out at 0 meV per atom.



Which V belongs to each record? In order, 22.23, 21.57, 18.35 A^3/atom.